a.
ZnTc2Ge PBE optimized geometry; theoretical density = 8747 kg/m³
1.0
6.9493 0.0000 0.0000
0.0000 6.9493 0.0000
3.4747 3.4747 2.6263
Zn Ge Tc
2 2 4
Direct
0.5000 0.5000 0.0000
0.2500 0.7500 0.5000
0.0000 0.0000 0.0000
0.7500 0.2500 0.5000
0.6471 0.1250 0.2500
0.1029 0.6250 0.2500
0.3750 0.3529 0.7500
0.8750 0.8971 0.7500

b.
ZnTc2Ge PBE optimized geometry; theoretical density = 9368 kg/m³
1.0
2.8747 0.0000 0.0000
1.4374 2.4896 0.0000
1.4374 0.8299 8.2735
Zn Tc Ge
1 2 1
Direct
0.4999 0.4999 0.5004
0.0799 0.0799 0.7602
0.2535 0.2535 0.2394
0.6667 0.6667 0.0000

c.
ZnTc2Ge PBE optimized geometry; theoretical density = 7022 kg/m³
1.0
4.4255 0.0000 0.0000
2.2128 3.8326 0.0000
2.2128 1.2775 4.6572
Zn Ge Tc
1 1 2
Direct
0.0000 0.0000 0.0000
0.5000 0.5000 0.5000
0.1777 0.1777 0.4669
0.8223 0.8223 0.5331

d.
ZnTc2Ge PBE optimized geometry; theoretical density = 9760 kg/m³
1.0
2.3769 1.2745 3.3690
-1.5788 2.8968 2.7821
-1.0914 -1.2162 3.9942
Zn Ge Tc
1 1 2
Direct
0.0000 0.0000 0.0000
0.5000 0.5000 0.5000
0.2500 0.2500 0.2500
0.7500 0.7500 0.7500

It comes down to d, which is 10 meV/atom more stable than the next structure.

a.
ZrTc3Ge PBE optimized geometry; theoretical density = 6869 kg/m³
1.0
-0.7204 3.8322 -2.8017
-4.5038 -1.4474 -0.8216
-1.5003 2.5047 3.8118
Ge Tc Zr
1 3 1
Direct
0.5000 0.5000 0.5000
0.0000 0.5000 0.0000
0.0000 0.0000 0.5000
0.5000 0.0000 0.0000
0.0000 0.0000 0.0000

b.
ZrTc3Ge PBE optimized geometry; theoretical density = 8091 kg/m³
1.0
-1.5812 4.2566 0.2242
-2.4320 -0.7045 -3.7760
-3.5006 -1.4332 2.5220
Ge Tc Zr
1 3 1
Direct
0.0000 0.0000 0.0000
0.0000 0.5000 0.0000
0.0000 0.0000 0.5000
0.5000 0.0000 0.0000
0.5000 0.5000 0.5000

It comes down to b, which is 1212 meV/atom more stable than the next structure.

a.
Zr2TcGe2 PBE optimized geometry; theoretical density = 7816 kg/m³
1.0
-2.5983 -1.3516 -2.6936
1.3413 -4.8319 -1.8084
-2.7928 -4.1518 1.8382
Zr Tc Ge
2 1 2
Direct
0.7892 0.7108 0.7108
0.2108 0.2892 0.2892
0.0000 0.0000 0.0000
0.5000 0.7245 0.2755
0.5000 0.2755 0.7245

b.
Zr2TcGe2 PBE optimized geometry; theoretical density = 7927 kg/m³
1.0
6.7064 0.0000 0.0000
0.0000 6.7064 0.0000
0.0000 0.0000 3.9657
Ge Tc Zr
4 2 4
Direct
0.3648 0.8648 0.0000
0.8648 0.6352 0.0000
0.6352 0.1352 0.0000
0.1352 0.3648 0.0000
0.0000 0.0000 0.0000
0.5000 0.5000 0.0000
0.1715 0.6715 0.5000
0.6715 0.8285 0.5000
0.8285 0.3285 0.5000
0.3285 0.1715 0.5000

It comes down to b, which is 53 meV/atom more stable than the next structure.